w.
The following is a DFT calculation (GGA-PBE) of a geometry-optimized Tb7Er2Th2 structure.

space-group type: No. 12
Fermi-level density of states: 1.481 states/eV/atom

Lattice parameters (Å, degrees): 8.616 5.994 8.616 64.17 96.03 115.83
Sites, in units of the cell vectors:
Th 0.211 0.500 0.211
Th 0.789 0.500 0.789
Er 0.234 0.880 0.766
Er 0.766 0.120 0.234
Tb 0.000 0.000 0.000
Tb 0.058 0.820 0.408
Tb 0.942 0.180 0.592
Tb 0.587 0.369 0.413
Tb 0.592 0.820 0.942
Tb 0.408 0.180 0.058
Tb 0.413 0.631 0.587

x.
The following is a DFT calculation (GGA-PBE) of a geometry-optimized Tb7Er2Th2 structure.

space-group type: No. 12
Fermi-level density of states: 1.517 states/eV/atom

Lattice parameters (Å, degrees): 6.094 7.971 7.971 91.41 74.13 74.13
Sites, in units of the cell vectors:
Tb 0.584 0.766 0.766
Tb 0.416 0.234 0.234
Tb 0.828 0.412 0.938
Tb 0.172 0.588 0.062
Tb 0.000 0.000 0.000
Tb 0.172 0.062 0.588
Tb 0.828 0.938 0.412
Th 0.195 0.579 0.579
Th 0.805 0.421 0.421
Er 0.500 0.781 0.219
Er 0.500 0.219 0.781

Which one sits at the bottom of the stability order? w does.